This record from the Alexandria database describes crystalline P2H3I at its relaxed geometry. The functional is GGA-PBE.

Output
* DOS at the Fermi energy: 0.000 states/eV per cell
* V: 263.77 Å³/cell
* electronic total energy: -3.761 eV/atom

Structure (POSCAR):
```
P2H3I
1.0
5.0921 2.0918 -0.0131
3.3120 9.9579 -2.6672
0.5028 -0.0022 6.0884
H P I
6 4 2
Direct
0.7827 0.5536 0.7933
0.6317 0.6757 0.5502
0.9126 0.9041 0.8263
0.3683 0.3243 0.4498
0.2173 0.4464 0.2067
0.0874 0.0959 0.1737
0.8609 0.2675 0.1758
0.5568 0.7259 0.8003
0.1391 0.7325 0.8242
0.4432 0.2741 0.1997
0.9628 0.8201 0.2571
0.0372 0.1799 0.7429
```

***

This record from the Alexandria database describes crystalline PH6I at its relaxed geometry. The functional is GGA-PBE.

Output
* DOS at the Fermi energy: 3.595 states/eV per cell
* V: 82.13 Å³/cell
* electronic total energy: -2.997 eV/atom

Structure (POSCAR):
```
PH6I
1.0
3.8415 0.0000 0.0000
1.9208 3.3269 0.0000
1.9208 1.1090 6.4265
P I H
1 1 6
Direct
0.0000 0.0000 0.0000
0.5000 0.5000 0.5000
0.5833 0.1397 0.1374
0.8603 0.8603 0.8626
0.1397 0.5833 0.1374
0.1397 0.1397 0.1374
0.8603 0.4167 0.8626
0.4167 0.8603 0.8626
```

***

This record from the Alexandria database describes crystalline P4H5I2 at its relaxed geometry. The functional is GGA-PBE.

Output
* DOS at the Fermi energy: 1.210 states/eV per cell
* V: 229.86 Å³/cell
* electronic total energy: -3.716 eV/atom

Structure (POSCAR):
```
P4H5I2
1.0
2.8837 5.8452 0.6876
-2.8837 5.8452 0.6876
0.0000 6.1830 7.5459
H P I
5 4 2
Direct
0.3842 0.0075 0.1554
0.0075 0.3842 0.1554
0.9925 0.6158 0.8446
0.0000 0.0000 0.5000
0.6158 0.9925 0.8446
0.1885 0.1885 0.2555
0.4225 0.4225 0.1642
0.5775 0.5775 0.8358
0.8115 0.8115 0.7445
0.8647 0.8647 0.2659
0.1353 0.1353 0.7341
```

***

This record from the Alexandria database describes crystalline P2H4I at its relaxed geometry. The functional is GGA-PBE.

Output
* DOS at the Fermi energy: 2.142 states/eV per cell
* V: 153.61 Å³/cell
* electronic total energy: -3.678 eV/atom

Structure (POSCAR):
```
P2H4I
1.0
-2.8506 1.4445 0.9842
-0.6951 -7.1439 -2.9972
-2.9187 -11.6141 2.5423
P H I
2 4 1
Direct
0.6990 0.3961 0.6037
0.2979 0.6034 0.3972
0.5455 0.5342 0.0121
0.4167 0.0566 0.7179
0.5802 0.9430 0.2828
0.4637 0.4682 0.9854
0.9970 0.9984 0.0009
```

***

This record from the Alexandria database describes crystalline PH4I at its relaxed geometry. The functional is GGA-PBE.

Output
* DOS at the Fermi energy: 0.000 states/eV per cell
* V: 182.43 Å³/cell
* excess energy over the best structure of this formula in the dataset: 0.0 meV per atom
* electronic total energy: -3.502 eV/atom

Structure (POSCAR):
```
PH4I
1.0
6.3160 0.0000 0.0000
0.0000 6.3160 0.0000
0.0000 0.0000 4.5732
I H P
2 8 2
Direct
0.2500 0.2500 0.4056
0.7500 0.7500 0.5944
0.7500 0.0676 0.1821
0.2500 0.5676 0.8179
0.7500 0.4324 0.1821
0.5676 0.2500 0.8179
0.9324 0.2500 0.8179
0.4324 0.7500 0.1821
0.2500 0.9324 0.8179
0.0676 0.7500 0.1821
0.7500 0.2500 0.0000
0.2500 0.7500 0.0000
```

***

This record from the Alexandria database describes crystalline PHI at its relaxed geometry. The functional is GGA-PBE.

Output
* DOS at the Fermi energy: 0.000 states/eV per cell
* V: 197.34 Å³/cell
* excess energy over the best structure of this formula in the dataset: 0.0 meV per atom
* electronic total energy: -3.468 eV/atom

Structure (POSCAR):
```
PHI
1.0
5.1116 0.3662 -0.0232
3.2482 6.0617 1.5000
0.6652 4.6173 7.8079
I H P
2 2 2
Direct
0.1574 0.7404 0.5260
0.4371 0.6528 0.0695
0.8458 0.4306 0.5460
0.7487 0.9625 0.0496
0.7052 0.2657 0.6531
0.8893 0.1274 0.9424
```

***

This record from the Alexandria database describes crystalline P3H12I at its relaxed geometry. The functional is GGA-PBE.

Output
* DOS at the Fermi energy: 0.000 states/eV per cell
* V: 489.28 Å³/cell
* electronic total energy: -3.580 eV/atom

Structure (POSCAR):
```
P3H12I
1.0
-0.9010 8.8172 1.7717
-7.8521 3.2016 3.1286
-0.7756 2.9220 8.1191
H I P
24 2 6
Direct
0.2542 0.1359 0.4490
0.5463 0.0095 0.5784
0.0026 0.6039 0.1157
0.0668 0.6724 0.3424
0.9184 0.0668 0.3424
0.1724 0.5668 0.8424
0.8658 0.5463 0.5784
0.0463 0.3658 0.0784
0.6609 0.6359 0.9490
0.7777 0.1039 0.6157
0.1609 0.2542 0.4490
0.6359 0.7542 0.9490
0.6039 0.2777 0.1157
0.2777 0.0026 0.1157
0.5026 0.7777 0.6157
0.7542 0.6609 0.9490
0.5668 0.4184 0.8424
0.0095 0.8658 0.5784
0.3658 0.5095 0.0784
0.1039 0.5026 0.6157
0.4184 0.1724 0.8424
0.5095 0.0463 0.0784
0.6724 0.9184 0.3424
0.1359 0.1609 0.4490
0.0340 0.0340 0.8981
0.5340 0.5340 0.3981
0.0586 0.4966 0.4859
0.5586 0.4589 0.9859
0.9589 0.0586 0.4859
0.4966 0.9589 0.4859
0.4589 0.9966 0.9859
0.9966 0.5586 0.9859
```

***

This record from the Alexandria database describes crystalline PH2I at its relaxed geometry. The functional is GGA-PBE.

Output
* DOS at the Fermi energy: 0.469 states/eV per cell
* V: 188.28 Å³/cell
* excess energy over the best structure of this formula in the dataset: 22.4 meV per atom
* electronic total energy: -3.470 eV/atom

Structure (POSCAR):
```
PH2I
1.0
-1.5361 3.6485 -2.3860
4.9294 -4.6077 -4.4510
-5.9891 -3.6893 3.9828
H I P
4 2 2
Direct
0.0201 0.1568 0.9860
0.4887 0.5179 0.3471
0.9887 0.3471 0.5179
0.5201 0.9860 0.1568
0.7542 0.5188 0.9839
0.2542 0.9839 0.5188
0.7543 0.2350 0.2689
0.2543 0.2689 0.2350
```

***

This record from the Alexandria database describes crystalline P2HI at its relaxed geometry. The functional is GGA-PBE.

Output
* DOS at the Fermi energy: 2.075 states/eV per cell
* V: 70.32 Å³/cell
* excess energy over the best structure of this formula in the dataset: 557.1 meV per atom
* electronic total energy: -2.509 eV/atom

Structure (POSCAR):
```
P2HI
1.0
-1.3085 -1.7334 4.0923
-0.4640 2.8014 3.6607
-4.2152 0.9444 1.6747
P H I
2 1 1
Direct
0.7500 0.7500 0.7500
0.2500 0.2500 0.2500
0.0000 0.0000 0.0000
0.5000 0.5000 0.5000
```

***

This record from the Alexandria database describes crystalline PHI2 at its relaxed geometry. The functional is GGA-PBE.

Output
* DOS at the Fermi energy: 1.158 states/eV per cell
* V: 89.21 Å³/cell
* excess energy over the best structure of this formula in the dataset: 368.2 meV per atom
* electronic total energy: -1.863 eV/atom

Structure (POSCAR):
```
PHI2
1.0
1.1458 -4.6427 -1.5127
-3.6528 -3.3149 -0.9077
-0.9861 -1.4183 -4.7086
I P H
2 1 1
Direct
0.7500 0.7500 0.7500
0.2500 0.2500 0.2500
0.5000 0.5000 0.5000
0.0000 0.0000 0.0000
```

***

This record from the Alexandria database describes crystalline P2H8I at its relaxed geometry. The functional is GGA-PBE.

Output
* DOS at the Fermi energy: 3.752 states/eV per cell
* V: 201.08 Å³/cell
* electronic total energy: -3.393 eV/atom

Structure (POSCAR):
```
P2H8I
1.0
-3.1664 5.2374 2.3536
-3.3861 -4.7503 -2.9941
-3.8871 -0.6238 5.2693
P H I
2 8 1
Direct
0.4985 0.2506 0.2509
0.5015 0.7494 0.7491
0.6748 0.5170 0.1621
0.3238 0.8393 0.8369
0.3212 0.1615 0.5173
0.6792 0.8370 0.8379
0.6762 0.1607 0.1631
0.3252 0.4830 0.8379
0.6788 0.8385 0.4827
0.3208 0.1630 0.1621
0.0000 0.0000 0.0000
```

***

This record from the Alexandria database describes crystalline PHI at its relaxed geometry. The functional is GGA-PBE.

Output
* DOS at the Fermi energy: 0.000 states/eV per cell
* V: 372.31 Å³/cell
* excess energy over the best structure of this formula in the dataset: 0.5 meV per atom
* electronic total energy: -3.468 eV/atom

Structure (POSCAR):
```
PHI
1.0
-3.2732 0.8035 6.3687
-1.9433 -5.1912 -0.7151
7.4841 -3.3907 4.2727
P H I
4 4 4
Direct
0.0460 0.9281 0.6056
0.4540 0.5719 0.1056
0.9540 0.0719 0.3944
0.5460 0.4281 0.8944
0.6710 0.6340 0.8709
0.8289 0.8660 0.3709
0.1711 0.1340 0.6291
0.3290 0.3660 0.1291
0.7859 0.1859 0.0095
0.2141 0.8141 0.9905
0.2859 0.6859 0.4905
0.7141 0.3141 0.5095
```